Nd7In6Ni5Ge3 at its PBEsol-relaxed geometry, computed with meta-GGA SCAN.

It has space group P-6 (No. 174), with a = 11.2414 Å, b = 11.2414 Å, c = 4.1005 Å, α = 90.00°, β = 90.00° and γ = 120.00°. The inequivalent atoms are Nd at (0.0000, 0.0000, 0.0000), Nd at (0.0858, 0.7066, 0.0000), Nd at (0.3791, 0.0746, 0.0000), In at (0.1648, 0.5154, 0.5000), In at (0.5188, 0.3559, 0.5000), Ni at (0.0825, 0.2475, 0.5000), Ni at (0.3333, 0.6667, 0.0000), Ni at (0.6667, 0.3333, 0.0000) and Ge at (0.2313, 0.1538, 0.5000).

Its energy of formation is -14.620 eV/f.u. The size of the total moment is 0.00 Bohr magnetons per cell.